(1)
# ScCo2Ag (PBE, relaxed)
data_ScCo2Ag
_cell_length_a 3.953
_cell_length_b 3.953
_cell_length_c 3.715
_cell_angle_alpha 90.00
_cell_angle_beta 90.00
_cell_angle_gamma 89.99
_symmetry_space_group_name_H-M 'P 1'
_symmetry_Int_Tables_number 1
_symmetry_space_group_name_Hall 'P 1'
loop_
_atom_site_label
_atom_site_type_symbol
_atom_site_fract_x
_atom_site_fract_y
_atom_site_fract_z
Ag1 Ag 0.000 0.500 0.500
Co1 Co 0.000 0.000 0.000
Co2 Co 0.500 0.500 0.000
Sc1 Sc 0.500 0.000 0.500
# Raw total energy   -5.83 eV/atom
# Total moment   1.74 μB per cell
# Space-group type   P4/mmm
# N(E_F)   1.170 states/eV/atom

***

(2)
# Sc8Co2Ag (PBE, relaxed)
data_Sc8Co2Ag
_cell_length_a 4.964
_cell_length_b 7.219
_cell_length_c 7.219
_cell_angle_alpha 113.28
_cell_angle_beta 97.71
_cell_angle_gamma 97.71
_symmetry_space_group_name_H-M 'P 1'
_symmetry_Int_Tables_number 1
_symmetry_space_group_name_Hall 'P 1'
loop_
_atom_site_label
_atom_site_type_symbol
_atom_site_fract_x
_atom_site_fract_y
_atom_site_fract_z
Sc1 Sc 0.918 0.933 0.671
Sc2 Sc 0.918 0.671 0.933
Sc3 Sc 0.308 0.620 0.620
Sc4 Sc 0.500 0.754 0.246
Sc5 Sc 0.500 0.246 0.754
Sc6 Sc 0.692 0.380 0.380
Sc7 Sc 0.082 0.329 0.067
Sc8 Sc 0.082 0.067 0.329
Co1 Co 0.000 0.312 0.688
Co2 Co 0.000 0.688 0.312
Ag1 Ag 0.500 0.000 0.000
# Polymorph energy (0 for the lowest one)   60 meV/atom
# Raw total energy   -6.29 eV/atom
# Total moment   0.00 μB per cell
# Space-group type   C2/m
# N(E_F)   1.281 states/eV/atom

***

(3)
# ScCo2Ag (PBE, relaxed)
data_ScCo2Ag
_cell_length_a 3.828
_cell_length_b 3.828
_cell_length_c 9.352
_cell_angle_alpha 78.19
_cell_angle_beta 78.19
_cell_angle_gamma 90.00
_symmetry_space_group_name_H-M 'P 1'
_symmetry_Int_Tables_number 1
_symmetry_space_group_name_Hall 'P 1'
loop_
_atom_site_label
_atom_site_type_symbol
_atom_site_fract_x
_atom_site_fract_y
_atom_site_fract_z
Sc1 Sc 0.500 0.500 0.000
Sc2 Sc 0.250 0.750 0.500
Co1 Co 0.576 0.125 0.250
Co2 Co 0.174 0.625 0.250
Co3 Co 0.375 0.424 0.750
Co4 Co 0.875 0.826 0.750
Ag1 Ag 0.000 0.000 0.000
Ag2 Ag 0.750 0.250 0.500
# Raw total energy   -5.42 eV/atom
# Total moment   4.68 μB per cell
# Space-group type   I-42d
# N(E_F)   1.348 states/eV/atom

***

(4)
# ScCoAg (PBE, relaxed)
data_ScCoAg
_cell_length_a 3.061
_cell_length_b 3.061
_cell_length_c 6.347
_cell_angle_alpha 90.00
_cell_angle_beta 90.00
_cell_angle_gamma 120.00
_symmetry_space_group_name_H-M 'P 1'
_symmetry_Int_Tables_number 1
_symmetry_space_group_name_Hall 'P 1'
loop_
_atom_site_label
_atom_site_type_symbol
_atom_site_fract_x
_atom_site_fract_y
_atom_site_fract_z
Ag1 Ag 0.000 0.000 0.017
Co1 Co 0.667 0.333 0.350
Sc1 Sc 0.333 0.667 0.633
# Raw total energy   -5.25 eV/atom
# Total moment   0.74 μB per cell
# Space-group type   P3m1
# N(E_F)   0.753 states/eV/atom

***

(5)
# Sc6CoAg (PBE, relaxed)
data_Sc6CoAg
_cell_length_a 6.033
_cell_length_b 6.033
_cell_length_c 6.103
_cell_angle_alpha 101.19
_cell_angle_beta 101.19
_cell_angle_gamma 116.64
_symmetry_space_group_name_H-M 'P 1'
_symmetry_Int_Tables_number 1
_symmetry_space_group_name_Hall 'P 1'
loop_
_atom_site_label
_atom_site_type_symbol
_atom_site_fract_x
_atom_site_fract_y
_atom_site_fract_z
Sc1 Sc 0.264 0.264 0.722
Sc2 Sc 0.481 0.096 0.261
Sc3 Sc 0.736 0.736 0.278
Sc4 Sc 0.904 0.519 0.739
Sc5 Sc 0.519 0.904 0.739
Sc6 Sc 0.096 0.481 0.261
Co1 Co 0.500 0.500 0.500
Ag1 Ag 0.000 0.000 0.000
# Raw total energy   -5.96 eV/atom
# Total moment   0.00 μB per cell
# Space-group type   C2/m
# N(E_F)   1.314 states/eV/atom

***

(6)
# ScCo2Ag (PBE, relaxed)
data_ScCo2Ag
_cell_length_a 8.697
_cell_length_b 8.697
_cell_length_c 8.697
_cell_angle_alpha 19.22
_cell_angle_beta 19.22
_cell_angle_gamma 19.22
_symmetry_space_group_name_H-M 'P 1'
_symmetry_Int_Tables_number 1
_symmetry_space_group_name_Hall 'P 1'
loop_
_atom_site_label
_atom_site_type_symbol
_atom_site_fract_x
_atom_site_fract_y
_atom_site_fract_z
Ag1 Ag 0.744 0.744 0.744
Co1 Co 0.990 0.990 0.990
Co2 Co 0.257 0.257 0.257
Sc1 Sc 0.508 0.508 0.508
# Raw total energy   -5.56 eV/atom
# Total moment   3.40 μB per cell
# Space-group type   R3m
# N(E_F)   0.920 states/eV/atom

***

(7)
# ScCo2Ag (PBE, relaxed)
data_ScCo2Ag
_cell_length_a 3.170
_cell_length_b 3.259
_cell_length_c 6.639
_cell_angle_alpha 60.61
_cell_angle_beta 90.00
_cell_angle_gamma 90.00
_symmetry_space_group_name_H-M 'P 1'
_symmetry_Int_Tables_number 1
_symmetry_space_group_name_Hall 'P 1'
loop_
_atom_site_label
_atom_site_type_symbol
_atom_site_fract_x
_atom_site_fract_y
_atom_site_fract_z
Ag1 Ag 0.500 0.750 0.750
Co1 Co 0.000 0.992 0.008
Co2 Co 0.000 0.508 0.492
Sc1 Sc 0.500 0.250 0.250
# Raw total energy   -5.71 eV/atom
# Total moment   2.05 μB per cell
# Space-group type   Pmmm
# N(E_F)   1.416 states/eV/atom

***

(8)
# SmScCoAg (PBE, relaxed)
data_SmScCoAg
_cell_length_a 4.866
_cell_length_b 4.866
_cell_length_c 4.866
_cell_angle_alpha 60.00
_cell_angle_beta 60.00
_cell_angle_gamma 60.00
_symmetry_space_group_name_H-M 'P 1'
_symmetry_Int_Tables_number 1
_symmetry_space_group_name_Hall 'P 1'
loop_
_atom_site_label
_atom_site_type_symbol
_atom_site_fract_x
_atom_site_fract_y
_atom_site_fract_z
Sc1 Sc 0.500 0.500 0.500
Co1 Co 0.250 0.250 0.250
Ag1 Ag 0.750 0.750 0.750
Sm1 Sm 0.000 0.000 0.000
# Raw total energy   -5.38 eV/atom
# Total moment   0.45 μB per cell
# Space-group type   F-43m
# N(E_F)   0.795 states/eV/atom